# PBE-GGA Ho4IrSe3, relaxed
# **Raw formation energy**: -1516 meV/atom
# **Excess energy over the best structure of this formula in the dataset**: 0.000 eV per atom
# **D(E_F)**: 0.7607 states/eV/atom
data_Ho4IrSe3
_cell_length_a 8.3572
_cell_length_b 11.6267
_cell_length_c 4.0091
_cell_angle_alpha 90.00
_cell_angle_beta 90.00
_cell_angle_gamma 90.00
_space_group_name_H-M_alt 'C m m m'
_space_group_IT_number 65
_space_group_name_Hall '-C 2 2'
loop_
_atom_site_label
_atom_site_type_symbol
_atom_site_fract_x
_atom_site_fract_y
_atom_site_fract_z
Ho1 Ho 0.0000 0.2377 0.0000
Ho2 Ho 0.2258 0.0000 0.5000
Ir1 Ir 0.0000 0.0000 0.0000
Se1 Se 0.0000 0.5000 0.0000
Se2 Se 0.2500 0.2500 0.5000

# PBE-GGA PrPu3Th4S8, relaxed
# **Raw formation energy**: -1846 meV/atom
# **D(E_F)**: 1.3231 states/eV/atom
data_PrPu3Th4S8
_cell_length_a 7.9870
_cell_length_b 7.9870
_cell_length_c 19.8581
_cell_angle_alpha 90.00
_cell_angle_beta 90.00
_cell_angle_gamma 120.00
_space_group_name_H-M_alt 'R -3 m'
_space_group_IT_number 166
_space_group_name_Hall '-R 3 2"'
loop_
_atom_site_label
_atom_site_type_symbol
_atom_site_fract_x
_atom_site_fract_y
_atom_site_fract_z
Pr1 Pr 0.0000 0.0000 0.0000
Pu1 Pu 0.0000 0.5000 0.0000
Th1 Th 0.0000 0.0000 0.5000
Th2 Th 0.0000 0.5000 0.5000
S1 S 0.0000 0.0000 0.2540
S2 S 0.0059 0.5029 0.2521

# PBE-GGA InTc2W, relaxed
# **D(E_F)**: 1.0119 states/eV/atom
# **DFT total energy**: -35.452 eV per cell
data_InTc2W
_cell_length_a 4.4892
_cell_length_b 4.4892
_cell_length_c 3.2136
_cell_angle_alpha 90.00
_cell_angle_beta 90.00
_cell_angle_gamma 90.00
_space_group_name_H-M_alt 'P 4/m m m'
_space_group_IT_number 123
_space_group_name_Hall '-P 4 2'
loop_
_atom_site_label
_atom_site_type_symbol
_atom_site_fract_x
_atom_site_fract_y
_atom_site_fract_z
In1 In 0.0000 0.0000 0.0000
Tc1 Tc 0.0000 0.5000 0.5000
W1 W 0.5000 0.5000 0.0000